The following is a DFT calculation (PBE-GGA) of crystalline SrGaSbTe2 at its relaxed geometry.

Properties
- Distance to the lowest polymorph of the same formula: 774.4 meV/atom
- Space group: P4/mmm, No. 123
- N(E_F): 5.2 states/eV/f.u.
- Energy relative to the elements, uncorrected: 467 meV per atom

Unit cell a=6.084 b=5.733 c=6.084 alpha=90.00 beta=90.00 gamma=90.00
Each line ends with the local moment (μB).
Element x y z (fractional)
Sr 0.000 0.000 0.000  0.07
Te 0.500 0.000 0.000  0.00
Ga 0.000 0.500 0.000  0.13
Te 0.000 0.000 0.500  -0.01
Sb 0.500 0.500 0.500  0.01